Crystalline SmDy2Ho4Tm at its relaxed geometry. Source: Alexandria, functional GGA-PBE.

Lattice parameters (Å, degrees): 4.9949 4.9949 10.0090 90.00 90.00 90.00
Atoms (fractional coordinates):
Sm: 0.0000 0.0000 0.0000
Dy: 0.0000 0.0000 0.5000
Dy: 0.5000 0.5000 0.0000
Ho: 0.0000 0.5000 0.2522
Ho: 0.0000 0.5000 0.7478
Ho: 0.5000 0.0000 0.2522
Ho: 0.5000 0.0000 0.7478
Tm: 0.5000 0.5000 0.5000

Computed properties:
E_form ... 20 meV/atom
Calculated total energy ... -36.5 eV per cell
Density of states at the Fermi level ... 1.34 states/eV per atom
Space group ... P4/mmm (123)